! PBE Ho4InAg2Pd, relaxed; values from VASP
&SYSTEM
  ibrav = 0, nat = 8, ntyp = 4
/
ATOMIC_SPECIES
Ho 164.93 Ho.upf
In 114.82 In.upf
Ag 107.87 Ag.upf
Pd 106.42 Pd.upf
ATOMIC_POSITIONS angstrom
Ho 5.127 2.960 7.112
Ho 7.691 4.440 3.265
Ho 2.564 1.480 5.075
Ho 5.127 2.960 1.228
In 0.000 0.000 0.000
Ag 7.691 4.440 6.432
Ag 2.564 1.480 1.908
Pd 5.127 2.960 4.170
CELL_PARAMETERS angstrom
5.127 0.000 0.000
2.564 4.440 0.000
2.564 1.480 8.339
! SG: R-3m
! Total DFT energy (no corrections) in eV/atom: -4.50



! PBE KGaOs, relaxed; values from VASP
&SYSTEM
  ibrav = 0, nat = 6, ntyp = 3
/
ATOMIC_SPECIES
K 39.10 K.upf
Ga 69.72 Ga.upf
Os 190.23 Os.upf
ATOMIC_POSITIONS angstrom
K 0.786 1.094 3.726
K 3.584 3.283 2.718
Ga 1.983 1.094 0.571
Ga 2.386 3.283 5.873
Os 4.485 1.094 0.038
Os -0.115 3.283 6.406
CELL_PARAMETERS angstrom
5.059 0.000 -0.002
0.000 4.377 0.000
-0.689 0.000 6.446
! SG: P2_1/m
! Total DFT energy (no corrections) in eV/atom: -4.92



! PBE Rb2BPSe, relaxed; values from VASP
&SYSTEM
  ibrav = 0, nat = 5, ntyp = 4
/
ATOMIC_SPECIES
P 30.97 P.upf
B 10.81 B.upf
Se 78.96 Se.upf
Rb 85.47 Rb.upf
ATOMIC_POSITIONS angstrom
P -4.068 -2.850 -0.937
B -0.956 -0.508 1.625
Se 0.000 0.000 0.000
Rb -0.248 -3.093 -1.113
Rb -2.864 0.751 -1.449
CELL_PARAMETERS angstrom
-5.729 1.502 -2.899
-0.496 -6.187 -2.226
-1.911 -1.016 3.251
! SG: P4/mmm
! Total DFT energy (no corrections) in eV/atom: -2.98
! Energy relative to the elements, uncorrected in meV per atom: 525



! PBE Tb3Ag, relaxed; values from VASP
&SYSTEM
  ibrav = 0, nat = 4, ntyp = 2
/
ATOMIC_SPECIES
Tb 158.93 Tb.upf
Ag 107.87 Ag.upf
ATOMIC_POSITIONS angstrom
Tb 2.779 1.666 3.622
Tb -0.308 2.113 2.007
Tb 4.861 4.452 3.034
Ag 7.522 3.790 4.399
CELL_PARAMETERS angstrom
-1.405 3.297 -0.439
-1.631 -0.290 3.039
7.667 3.864 4.484
! SG: Pmm2
! Total DFT energy (no corrections) in eV/atom: -4.09